## KZr2NpO8 (GGA-PBE)

Data for a relaxed structure of KZr2NpO8.

Calculated values
* calculated density: 5.5 Mg/m³
* space-group type: P2/m

The structure in extended XYZ format:
```
12
Lattice="5.0858 0.0852 -0.0020 0.1332 5.0802 -0.0041 0.0070 0.0099 6.8988" Properties=species:S:1:pos:R:3 pbc="T T T"
O 4.0576 1.1335 1.3824
O 3.4865 3.4671 3.4447
O 1.4871 1.4682 6.8957
O 1.7395 1.7081 3.4479
O 1.1632 4.0348 1.3812
O 4.0628 1.1404 5.5114
O 1.1684 4.0417 5.5102
O 3.7389 3.7069 -0.0031
Zr 2.6127 2.5867 1.8408
Zr 2.6133 2.5885 5.0518
K 0.0035 0.0049 3.4494
Np 0.0000 0.0000 0.0000
```

---

## K2ZrNp3O12 (GGA-PBE)

Data for a relaxed structure of K2ZrNp3O12.

Calculated values
* calculated density: 5.3 Mg/m³
* space-group type: R-3m

The structure in extended XYZ format:
```
18
Lattice="-5.6683 -1.0538 -5.1111 -3.0206 -7.0535 -0.6981 -7.1333 -1.1950 2.6552" Properties=species:S:1:pos:R:3 pbc="T T T"
O -9.4556 -3.6856 0.6624
O -12.9204 -4.3607 -2.5167
O -11.2971 -8.0389 0.1888
O -8.9361 -1.9564 -1.7213
O -10.3989 -7.9523 -4.5725
O -6.3665 -5.6167 -3.8164
O -7.2819 -5.7049 1.0358
O -4.5250 -1.2633 -3.3428
O -8.5403 -3.5973 -4.1898
O -5.4232 -1.3499 1.4185
O -2.9018 -4.9416 -0.6373
O -6.8861 -7.3458 -1.4326
Np -2.8341 -0.5269 -2.5555
Np -3.5667 -0.5975 1.3276
Np -1.5103 -3.5267 -0.3491
K -5.3708 -3.1576 -1.0706
K -10.4514 -6.1446 -2.0834
Zr 0.0000 0.0000 0.0000
```

---

Per-record formation energy from raw total energies, eV/f.u.: -32.49; -49.21